[1]
Here is a relaxed Cs3TlCd crystal from the Alexandria database. Energies are from PBE.

Calculated values
**Polymorph energy (0 for the lowest one)**: 180 meV/atom
**Symmetry**: Pm-3m (221)

```
data_Cs3TlCd
_chemical_formula_sum 'Cs3 Tl1 Cd1'
_space_group_name_H-M_alt 'P 1'
_space_group_IT_number 1
_space_group_name_Hall 'P 1'
_cell_length_a 7.4552
_cell_length_b 7.4552
_cell_length_c 7.4552
_cell_angle_alpha 90.00
_cell_angle_beta 90.00
_cell_angle_gamma 90.00
loop_
_atom_site_label
_atom_site_type_symbol
_atom_site_fract_x
_atom_site_fract_y
_atom_site_fract_z
Cs1 Cs 0.0000 0.0000 0.5000
Cs2 Cs 0.0000 0.5000 0.0000
Cs3 Cs 0.5000 0.0000 0.0000
Tl1 Tl 0.0000 0.0000 0.0000
Cd1 Cd 0.5000 0.5000 0.5000
```



[2]
Here is a relaxed Cs4Tl5Cd crystal from the Alexandria database. Energies are from PBE.

Calculated values
**VASP energy**: -1.6810 eV/atom
**Symmetry**: I4 (79)

```
data_Cs4Tl5Cd
_chemical_formula_sum 'Cs4 Tl5 Cd1'
_space_group_name_H-M_alt 'P 1'
_space_group_IT_number 1
_space_group_name_Hall 'P 1'
_cell_length_a 8.8820
_cell_length_b 8.8820
_cell_length_c 8.8820
_cell_angle_alpha 100.54
_cell_angle_beta 100.54
_cell_angle_gamma 129.37
loop_
_atom_site_label
_atom_site_type_symbol
_atom_site_fract_x
_atom_site_fract_y
_atom_site_fract_z
Cs1 Cs 0.0637 0.3082 0.3719
Cs2 Cs 0.3082 0.9363 0.2445
Cs3 Cs 0.6918 0.0637 0.7555
Cs4 Cs 0.9363 0.6918 0.6281
Tl1 Tl 0.1967 0.1967 0.0000
Tl2 Tl 0.3169 0.5801 0.8993
Tl3 Tl 0.4176 0.3169 0.7368
Tl4 Tl 0.5801 0.6808 0.2632
Tl5 Tl 0.6808 0.4176 0.1007
Cd1 Cd 0.7950 0.7950 0.0000
```



Number 1: total magnetic moment 0.00 μB per cell. Number 2: total magnetic moment 0.00 μB per cell.